The following is a PBE calculation of a relaxed structure of ErNi2, from Alexandria via LeMat-Bulk.

Results
ΔH_f (0 K) in eV per atom: -0.481
ρ in g/cm³: 10.453
Space group: Fd-3m (227)
Calculated volume in Å³ per atom: 15.07
Raw total energy in eV per atom: -5.856

Lattice parameters (Å, degrees): 5.038 5.038 5.038 60.00 60.00 60.00
Atoms (fractional coordinates):
1 Er 0.125 0.125 0.125
2 Er 0.875 0.875 0.875
3 Ni 0.000 0.500 0.500
4 Ni 0.500 0.000 0.500
5 Ni 0.500 0.500 0.000
6 Ni 0.500 0.500 0.500

The following is a PBE calculation of a relaxed structure of Na2DyMnSe4, from Alexandria via LeMat-Bulk.

Results
ρ in g/cm³: 5.010
Space group: P2/m (10)
Calculated volume in Å³ per atom: 24.00
Raw total energy in eV per atom: -4.959

Lattice parameters (Å, degrees): 6.835 4.014 7.364 90.00 108.13 90.00
Atoms (fractional coordinates):
1 Na 0.000 0.000 0.000
2 Na 0.500 0.500 0.000
3 Dy 0.000 0.500 0.500
4 Mn 0.500 0.000 0.500
5 Se 0.265 0.000 0.721
6 Se 0.279 0.500 0.285
7 Se 0.721 0.500 0.715
8 Se 0.735 0.000 0.279

The following is a PBE calculation of a relaxed structure of Sc2ClF, from Alexandria via LeMat-Bulk.

Results
Offset from the most stable computed form in meV per atom: 572.0
ρ in g/cm³: 3.892
Space group: Fm-3m (225)
Calculated volume in Å³ per atom: 15.40
Raw total energy in eV per atom: -5.202

Lattice parameters (Å, degrees): 4.433 4.433 4.433 60.00 60.00 60.00
Atoms (fractional coordinates):
1 Sc 0.250 0.250 0.250
2 Sc 0.750 0.750 0.750
3 Cl 0.000 0.000 0.000
4 F 0.500 0.500 0.500

The following is a PBE calculation of a relaxed structure of GaB3Ru, from Alexandria via LeMat-Bulk.

Results
Offset from the most stable computed form in meV per atom: 0.0
ΔH_f (0 K) in eV per atom: 0.919
ρ in g/cm³: 4.803
Space group: Pm-3m (221)
Calculated volume in Å³ per atom: 14.05
Raw total energy in eV per atom: -5.548

Lattice parameters (Å, degrees): 4.126 4.126 4.126 90.00 90.00 90.00
Atoms (fractional coordinates):
1 Ga 0.000 0.000 0.000
2 B 0.000 0.500 0.500
3 B 0.500 0.000 0.500
4 B 0.500 0.500 0.000
5 Ru 0.500 0.500 0.500

The following is a PBE calculation of a relaxed structure of KCuS2, from Alexandria via LeMat-Bulk.

Results
ρ in g/cm³: 2.297
Space group: Cmcm (63)
Calculated volume in Å³ per atom: 30.14
Raw total energy in eV per atom: -3.924

Lattice parameters (Å, degrees): 7.138 7.138 6.681 90.00 90.00 134.90
Atoms (fractional coordinates):
1 K 0.176 0.824 0.750
2 K 0.824 0.176 0.250
3 Cu 0.498 0.502 0.750
4 Cu 0.502 0.498 0.250
5 S 0.390 0.610 0.004
6 S 0.390 0.610 0.496
7 S 0.610 0.390 0.504
8 S 0.610 0.390 0.996